1.
Crystalline TbPr7Nd4 at its relaxed geometry, computed with PBE-GGA.

E_form, eV/atom: 0.23
M_tot, Bohr magnetons per cell: 0.00

Cell: 6.8786 6.8786 13.0946 Å, 114.62 114.62 53.28°
Fractional coordinates of all 12 atoms:
Tb: 0.0000 0.0000 0.0000
Pr: 0.1313 0.1313 0.5006
Pr: 0.2533 0.2533 0.3177
Pr: 0.2899 0.2899 0.0786
Pr: 0.5000 0.5000 0.0000
Pr: 0.7101 0.7101 0.9214
Pr: 0.7467 0.7467 0.6823
Pr: 0.8687 0.8687 0.4994
Nd: 0.1347 0.1347 0.7773
Nd: 0.4392 0.4392 0.6744
Nd: 0.5608 0.5608 0.3256
Nd: 0.8653 0.8653 0.2227

---

2.
Crystalline Tb6Pr5Nd2 at its relaxed geometry, computed with PBE-GGA.

E_form, eV/atom: 0.09
M_tot, Bohr magnetons per cell: 0.00

Cell: 11.8446 20.8172 3.6431 Å, 90.00 90.00 90.00°
Fractional coordinates of all 26 atoms:
Tb: 0.0628 0.0762 0.0000
Tb: 0.0751 0.3645 0.0000
Tb: 0.1811 0.6300 0.5000
Tb: 0.3189 0.1300 0.5000
Tb: 0.4249 0.8645 0.0000
Tb: 0.4372 0.5762 0.0000
Tb: 0.5628 0.4238 0.0000
Tb: 0.5751 0.1355 0.0000
Tb: 0.6811 0.8700 0.5000
Tb: 0.8189 0.3700 0.5000
Tb: 0.9249 0.6355 0.0000
Tb: 0.9372 0.9238 0.0000
Pr: 0.0000 0.5000 0.5000
Pr: 0.0826 0.2206 0.5000
Pr: 0.2002 0.9460 0.5000
Pr: 0.2998 0.4460 0.5000
Pr: 0.4174 0.7206 0.5000
Pr: 0.5000 0.0000 0.5000
Pr: 0.5826 0.2794 0.5000
Pr: 0.7002 0.5540 0.5000
Pr: 0.7998 0.0540 0.5000
Pr: 0.9174 0.7794 0.5000
Nd: 0.1755 0.7818 0.0000
Nd: 0.3245 0.2818 0.0000
Nd: 0.6755 0.7182 0.0000
Nd: 0.8245 0.2182 0.0000

---

3.
Crystalline Tb12PrNd2 at its relaxed geometry, computed with PBE-GGA.

E_form, eV/atom: 0.31
M_tot, Bohr magnetons per cell: 0.00

Cell: 6.4538 6.4538 25.1877 Å, 90.00 90.00 90.00°
Fractional coordinates of all 30 atoms:
Tb: 0.0652 0.5652 0.1174
Tb: 0.0652 0.9348 0.8826
Tb: 0.0818 0.5818 0.4395
Tb: 0.0818 0.9182 0.5605
Tb: 0.2500 0.2500 0.2166
Tb: 0.2500 0.2500 0.3405
Tb: 0.2500 0.2500 0.6595
Tb: 0.2500 0.2500 0.7834
Tb: 0.4182 0.5818 0.5605
Tb: 0.4182 0.9182 0.4395
Tb: 0.4348 0.5652 0.8826
Tb: 0.4348 0.9348 0.1174
Tb: 0.5652 0.0652 0.8826
Tb: 0.5652 0.4348 0.1174
Tb: 0.5818 0.0818 0.5605
Tb: 0.5818 0.4182 0.4395
Tb: 0.7500 0.7500 0.2166
Tb: 0.7500 0.7500 0.3405
Tb: 0.7500 0.7500 0.6595
Tb: 0.7500 0.7500 0.7834
Tb: 0.9182 0.0818 0.4395
Tb: 0.9182 0.4182 0.5605
Tb: 0.9348 0.0652 0.1174
Tb: 0.9348 0.4348 0.8826
Pr: 0.2500 0.7500 0.0000
Pr: 0.7500 0.2500 0.0000
Nd: 0.2500 0.7500 0.2722
Nd: 0.2500 0.7500 0.7278
Nd: 0.7500 0.2500 0.2722
Nd: 0.7500 0.2500 0.7278

---

4.
Crystalline Tb4Pr5Nd at its relaxed geometry, computed with PBE-GGA.

E_form, eV/atom: 0.01
M_tot, Bohr magnetons per cell: 0.00

Cell: 9.6396 9.6396 10.3195 Å, 105.95 105.95 21.87°
Fractional coordinates of all 10 atoms:
Tb: 0.1010 0.1010 0.2973
Tb: 0.3001 0.3001 0.9000
Tb: 0.6999 0.6999 0.1000
Tb: 0.8990 0.8990 0.7027
Pr: 0.1007 0.1007 0.8037
Pr: 0.2996 0.2996 0.3997
Pr: 0.5000 0.5000 0.5000
Pr: 0.7004 0.7004 0.6003
Pr: 0.8993 0.8993 0.1963
Nd: 0.5000 0.5000 0.0000

---

5.
Crystalline Tb5PrNd6 at its relaxed geometry, computed with PBE-GGA.

E_form, eV/atom: 0.01
M_tot, Bohr magnetons per cell: 0.00

Cell: 6.3056 6.3056 11.9943 Å, 95.02 95.02 119.99°
Fractional coordinates of all 12 atoms:
Tb: 0.0000 0.0000 0.0000
Tb: 0.1666 0.8334 0.5000
Tb: 0.3332 0.6668 0.0000
Tb: 0.6668 0.3332 0.0000
Tb: 0.8334 0.1666 0.5000
Pr: 0.5000 0.5000 0.5000
Nd: 0.0825 0.4167 0.2483
Nd: 0.2491 0.2491 0.7515
Nd: 0.4167 0.0825 0.2483
Nd: 0.5833 0.9175 0.7517
Nd: 0.7509 0.7509 0.2485
Nd: 0.9175 0.5833 0.7517

---

6.
Crystalline Tb3PrNd8 at its relaxed geometry, computed with PBE-GGA.

E_form, eV/atom: 0.57
M_tot, Bohr magnetons per cell: 0.00

Cell: 8.5315 8.5315 8.5315 Å, 117.73 117.73 93.98°
Fractional coordinates of all 12 atoms:
Tb: 0.0000 0.0000 0.0000
Tb: 0.2500 0.7500 0.5000
Tb: 0.7500 0.2500 0.5000
Pr: 0.5000 0.5000 0.0000
Nd: 0.1230 0.3716 0.0000
Nd: 0.2387 0.7451 0.0000
Nd: 0.2549 0.2549 0.4936
Nd: 0.3716 0.1230 0.0000
Nd: 0.6284 0.6284 0.7514
Nd: 0.7451 0.2387 0.0000
Nd: 0.7613 0.7613 0.5064
Nd: 0.8770 0.8770 0.2486

---

7.
Crystalline Tb6PrNd4 at its relaxed geometry, computed with PBE-GGA.

E_form, eV/atom: 0.15
M_tot, Bohr magnetons per cell: 0.00

Cell: 11.1038 11.1038 3.5570 Å, 90.00 90.00 120.00°
Fractional coordinates of all 11 atoms:
Tb: 0.0067 0.5034 0.0000
Tb: 0.1699 0.3397 0.5000
Tb: 0.1699 0.8301 0.5000
Tb: 0.4966 0.5034 0.0000
Tb: 0.4966 0.9933 0.0000
Tb: 0.6603 0.8301 0.5000
Pr: 0.0000 0.0000 0.0000
Nd: 0.3333 0.6667 0.0000
Nd: 0.3940 0.1970 0.5000
Nd: 0.8030 0.1970 0.5000
Nd: 0.8030 0.6060 0.5000

---

8.
Crystalline Tb2PrNd at its relaxed geometry, computed with PBE-GGA.

E_form, eV/atom: 0.02
M_tot, Bohr magnetons per cell: 0.00

Cell: 5.1457 5.1457 5.0973 Å, 90.00 90.00 90.00°
Fractional coordinates of all 4 atoms:
Tb: 0.0000 0.5000 0.0000
Tb: 0.5000 0.0000 0.0000
Pr: 0.0000 0.0000 0.5000
Nd: 0.5000 0.5000 0.5000

---

> Which value of M_tot does entry 6 give?

0.00 Bohr magnetons per cell

---

Repeat the sixth record exactly.
Crystalline Tb3PrNd8 at its relaxed geometry, computed with PBE-GGA.

E_form, eV/atom: 0.57
M_tot, Bohr magnetons per cell: 0.00

Cell: 8.5315 8.5315 8.5315 Å, 117.73 117.73 93.98°
Fractional coordinates of all 12 atoms:
Tb: 0.0000 0.0000 0.0000
Tb: 0.2500 0.7500 0.5000
Tb: 0.7500 0.2500 0.5000
Pr: 0.5000 0.5000 0.0000
Nd: 0.1230 0.3716 0.0000
Nd: 0.2387 0.7451 0.0000
Nd: 0.2549 0.2549 0.4936
Nd: 0.3716 0.1230 0.0000
Nd: 0.6284 0.6284 0.7514
Nd: 0.7451 0.2387 0.0000
Nd: 0.7613 0.7613 0.5064
Nd: 0.8770 0.8770 0.2486